# 1
Density functional theory data (PBE) for crystalline NaCa2CuRh at its relaxed geometry.

Its calculated total energy is -16.7 eV per formula unit. The crystal system is tetragonal.

The space group is P4/mmm (No. 123) and the conventional cell measures 5.4029, 5.4029 and 4.9298 Å, with angles of 90.00, 90.00 and 90.00 degrees. The inequivalent atoms are Na at (0.0000, 0.0000, 0.0000), Ca at (0.0000, 0.5000, 0.5000), Cu at (0.5000, 0.5000, 0.0000) and Rh at (0.5000, 0.5000, 0.5000).

---

# 2
Density functional theory data (PBE) for crystalline NaCa2CuSb at its relaxed geometry.

Its calculated total energy is -14.3 eV per formula unit. The crystal system is tetragonal. The calculation puts the formation energy without anion corrections at -0.14 eV per atom.

The space group is P4/mmm (No. 123) and the conventional cell measures 5.4354, 5.4354 and 5.0560 Å, with angles of 90.00, 90.00 and 90.00 degrees. The inequivalent atoms are Na at (0.0000, 0.0000, 0.0000), Ca at (0.0000, 0.5000, 0.5000), Cu at (0.0000, 0.0000, 0.5000) and Sb at (0.5000, 0.5000, 0.0000).

---

# 3
Density functional theory data (PBE) for crystalline NaCa2CuSn at its relaxed geometry.

Its calculated total energy is -11.3 eV per formula unit. The crystal system is tetragonal.

The space group is P4/mmm (No. 123) and the conventional cell measures 5.7396, 5.7396 and 4.6223 Å, with angles of 90.00, 90.00 and 90.00 degrees. The inequivalent atoms are Na at (0.0000, 0.0000, 0.0000), Ca at (0.0000, 0.5000, 0.0000), Cu at (0.0000, 0.0000, 0.5000) and Sn at (0.5000, 0.5000, 0.5000).

---

What did the second record say?
Density functional theory data (PBE) for crystalline NaCa2CuSb at its relaxed geometry.

Its calculated total energy is -14.3 eV per formula unit. The crystal system is tetragonal. The calculation puts the formation energy without anion corrections at -0.14 eV per atom.

The space group is P4/mmm (No. 123) and the conventional cell measures 5.4354, 5.4354 and 5.0560 Å, with angles of 90.00, 90.00 and 90.00 degrees. The inequivalent atoms are Na at (0.0000, 0.0000, 0.0000), Ca at (0.0000, 0.5000, 0.5000), Cu at (0.0000, 0.0000, 0.5000) and Sb at (0.5000, 0.5000, 0.0000).